Compound: TmBiO3
Source: the Alexandria database
Functional: meta-GGA SCAN
Structure: single point on PBEsol structure

Output
**Formation energy without anion corrections**: -2519 meV/atom
**DOS at the Fermi energy**: 0.00 states/eV/atom

Lattice parameters (Å, degrees): 5.897 5.897 5.970 60.40 60.40 60.00
Atoms (fractional coordinates):
Tm  0.858  0.858  0.427
Tm  0.142  0.142  0.573
Bi  0.639  0.639  0.082
Bi  0.361  0.361  0.918
O  0.546  0.994  0.248
O  0.213  0.546  0.248
O  0.994  0.213  0.248
O  0.006  0.787  0.752
O  0.787  0.454  0.752
O  0.454  0.006  0.752